# YAlPt

A geometry-optimized YAlPt structure (PBEsol, Alexandria).

Results
magnetization: 0.00 Bohr magnetons per cell
DOS(E_F): 5.788 states/eV/cell
space-group type: Pnma (62)
mass density: 9.0 g cm⁻³
calculated formation energy: -1157 meV per atom

Lattice parameters (Å, degrees): 4.3777 6.8507 7.6625 90.00 90.00 90.00
Closest atoms and distances in Å follow each position.
Positions (direct):
Y 0.7500 0.9738 0.6826  5 Pt 2.84-3.05, 3 Al 3.05-3.15
Y 0.7500 0.4738 0.8174  5 Pt 2.84-3.05, 3 Al 3.05-3.15
Y 0.2500 0.0262 0.3174  5 Pt 2.84-3.05, 3 Al 3.05-3.15
Y 0.2500 0.5262 0.1826  5 Pt 2.84-3.05, 3 Al 3.05-3.15
Al 0.7500 0.8524 0.0657  4 Pt 2.58-2.64
Al 0.7500 0.3524 0.4343  4 Pt 2.58-2.64
Al 0.2500 0.1476 0.9343  4 Pt 2.58-2.64
Al 0.2500 0.6476 0.5657  4 Pt 2.58-2.64
Pt 0.7500 0.7258 0.3863  4 Al 2.58-2.64, 1 Y 2.84
Pt 0.7500 0.2258 0.1137  4 Al 2.58-2.64, 1 Y 2.84
Pt 0.2500 0.2742 0.6137  4 Al 2.58-2.64, 1 Y 2.84
Pt 0.2500 0.7742 0.8863  4 Al 2.58-2.64, 1 Y 2.84



# Y2AlPt2

A geometry-optimized Y2AlPt2 structure (PBEsol, Alexandria).

Results
magnetization: 0.00 Bohr magnetons per cell
DOS(E_F): 3.050 states/eV/cell
space-group type: I4/mmm (139)
mass density: 8.8 g cm⁻³
calculated formation energy: -812 meV per atom

Lattice parameters (Å, degrees): 5.4033 5.4033 5.4033 91.41 119.19 119.19
Closest atoms and distances in Å follow each position.
Positions (direct):
Y 0.5000 0.7500 0.2500  4 Pt 2.80
Y 0.5000 0.2500 0.7500  4 Pt 2.80
Al 0.0000 0.0000 0.0000  2 Pt 2.49
Pt 0.0000 0.3297 0.3297  1 Al 2.49, 1 Pt 2.57
Pt 0.0000 0.6703 0.6703  1 Al 2.49, 1 Pt 2.57